# VMoRh4

VMoRh4 after structural relaxation (GGA-PBE, Alexandria).

Cell: 5.1790 5.1790 6.4786 Å, 104.13 104.13 30.60°
Fractional coordinates of all 6 atoms:
V (0.0000, 0.0000, 0.0000)
Mo (0.6198, 0.6198, 0.7084)
Rh (0.2815, 0.2815, 0.0401)
Rh (0.3456, 0.3456, 0.6645)
Rh (0.6681, 0.6681, 0.3128)
Rh (0.9502, 0.9502, 0.3811)

Properties
SG: No. 8
ΔE_f: -0.23 eV/atom
Total DFT energy (no corrections): -8.458 eV per atom
Polymorph energy (0 for the lowest one): 0.0 meV per atom
Calculated volume: 14.3 Å³ per atom
Total magnetic moment: 0.000 μB/cell